Below is a relaxed PmTaMn2O8 crystal, with properties calculated at the PBE with a Hubbard U level.

The calculation puts the total energy at -193.006 eV per cell.

It has space group Cmmm (No. 65), with a = 6.556 Å, b = 6.790 Å, c = 6.506 Å, α = 90.00°, β = 90.00° and γ = 90.00°. The inequivalent atoms are Pm at (0.000, 0.000, 0.000), Ta at (0.000, 0.000, 0.500), Mn at (0.000, 0.500, 0.259), O at (0.000, 0.306, 0.500), O at (0.000, 0.336, 0.000) and O at (0.209, 0.000, 0.282).